Entry 1:
This record from Alexandria via LeMat-Bulk describes an optimized crystal structure of KSbOs2. The functional is PBE.

Unit cell a=5.8730 b=5.8730 c=5.8730 alpha=150.22 beta=127.46 gamma=61.56
With the nearest neighbours (Å) after each atom.
Element x y z (fractional)
Sb (0.7500, 0.2500, 0.5000)  4 Os 2.63
Os (0.9639, 0.9639, 0.0000)  2 Sb 2.63
Os (0.5361, 0.5361, 0.0000)  2 Sb 2.63
K (0.2500, 0.7500, 0.5000)  4 Sb 3.01, 2 K 3.02, 4 Os 3.26

Properties
formation energy (no corrections)	1258	meV/atom
spin magnetization	0.000	μB per formula unit

=====

Entry 2:
This record from Alexandria via LeMat-Bulk describes an optimized crystal structure of Sm2Zn5Au3. The functional is PBE.

Unit cell a=5.8632 b=8.7446 c=8.7446 alpha=84.83 beta=70.41 gamma=70.41
With the nearest neighbours (Å) after each atom.
Element x y z (fractional)
Au (0.6212, 0.5285, 0.2292)  5 Zn 2.57-2.69
Au (0.3788, 0.4715, 0.7708)  5 Zn 2.57-2.69
Au (0.7500, 0.0000, 0.0000)  6 Zn 2.63-2.95, 2 Au 2.93
Au (0.1212, 0.2292, 0.5285)  5 Zn 2.57-2.69
Au (0.8788, 0.7708, 0.4715)  5 Zn 2.57-2.69
Au (0.2500, 0.0000, 0.0000)  6 Zn 2.63-2.95, 2 Au 2.93
Sm (0.6246, 0.1178, 0.6331)  4 Au 3.10-3.20, 4 Zn 3.15-3.24
Sm (0.8754, 0.3669, 0.8822)  4 Au 3.10-3.20, 4 Zn 3.15-3.24
Sm (0.1246, 0.6331, 0.1178)  4 Au 3.10-3.20, 4 Zn 3.15-3.24
Sm (0.3754, 0.8822, 0.3669)  4 Au 3.10-3.20, 4 Zn 3.15-3.24
Zn (0.1331, 0.9993, 0.7345)  2 Zn 2.57, 3 Au 2.57-2.63
Zn (0.2500, 0.5000, 0.5000)  4 Au 2.68, 4 Zn 2.80-2.93
Zn (0.9938, 0.2562, 0.2562)  3 Zn 2.57-2.80, 2 Au 2.69
Zn (0.4938, 0.2562, 0.2562)  3 Zn 2.57-2.80, 2 Au 2.69
Zn (0.0062, 0.7438, 0.7438)  3 Zn 2.57-2.80, 2 Au 2.69
Zn (0.7500, 0.5000, 0.5000)  4 Au 2.68, 4 Zn 2.80-2.93
Zn (0.6331, 0.7345, 0.9993)  2 Zn 2.57, 3 Au 2.57-2.63
Zn (0.8669, 0.0007, 0.2655)  2 Zn 2.57, 3 Au 2.57-2.63
Zn (0.3669, 0.2655, 0.0007)  2 Zn 2.57, 3 Au 2.57-2.63
Zn (0.5062, 0.7438, 0.7438)  3 Zn 2.57-2.80, 2 Au 2.69

Properties
ΔE to the lowest computed polymorph	13	meV per atom
formation enthalpy at 0 K	-475	meV/atom
spin magnetization	0.000	μB per formula unit

=====

Entry 3:
This record from Alexandria via LeMat-Bulk describes an optimized crystal structure of RbAs2Os. The functional is PBE.

Unit cell a=4.7733 b=4.7733 c=4.7733 alpha=60.00 beta=60.00 gamma=60.00
With the nearest neighbours (Å) after each atom.
Element x y z (fractional)
Rb (0.0000, 0.0000, 0.0000)  8 As 2.92
As (0.7500, 0.7500, 0.7500)  4 Os 2.92, 4 Rb 2.92
As (0.2500, 0.2500, 0.2500)  4 Os 2.92, 4 Rb 2.92
Os (0.5000, 0.5000, 0.5000)  8 As 2.92

Properties
ΔE to the lowest computed polymorph	797	meV per atom
formation enthalpy at 0 K	812	meV/atom
spin magnetization	0.000	μB per formula unit